Entry from Alexandria: an optimized crystal structure of Os2RuSe (PBE).

Properties
E_form (uncorrected) = 50 kJ/mol of atoms
D(E_F) = 0.784 states/eV per atom

```
Os2RuSe
1.0
2.8463 0.0000 0.0000
0.0000 3.7208 0.0000
0.0000 0.0000 5.7780
Os Ru Se
2 1 1
direct
0.0000 0.0000 0.0000
0.5000 0.5000 0.2031
0.0000 0.0000 0.4775
0.5000 0.5000 0.6547
```

Entry from Alexandria: an optimized crystal structure of OsRu2Se (PBE).

Properties
E_form (uncorrected) = 40 kJ/mol of atoms
D(E_F) = 1.113 states/eV per atom

```
OsRu2Se
1.0
1.4196 0.8196 8.4385
-1.4196 0.8196 8.4385
0.0000 -1.6392 8.4385
Os Ru Se
1 2 1
direct
0.0000 0.0000 0.0000
0.2508 0.2508 0.2508
0.4974 0.4974 0.4974
0.7527 0.7527 0.7527
```

Entry from Alexandria: an optimized crystal structure of OsRu2Se (PBE).

Properties
E_form (uncorrected) = 69 kJ/mol of atoms
D(E_F) = 0.685 states/eV per atom

```
OsRu2Se
1.0
-2.7719 2.7719 5.4939
2.7719 -2.7719 5.4939
2.7719 2.7719 -5.4939
Os Ru Se
2 4 2
direct
0.0000 0.0000 0.0000
0.7500 0.2500 0.5000
0.1194 0.6250 0.9944
0.3750 0.3694 0.4944
0.6306 0.1250 0.0056
0.8750 0.8806 0.5056
0.2500 0.7500 0.5000
0.5000 0.5000 0.0000
```

Entry from Alexandria: an optimized crystal structure of OsRuSe2 (PBE).

Properties
E_form (uncorrected) = 42 kJ/mol of atoms
relative energy among the computed polymorphs = 276.0 meV per atom
D(E_F) = 0.892 states/eV per atom

```
OsRuSe2
1.0
4.0242 -1.5164 0.0000
4.0242 1.5164 0.0000
-1.1700 0.0000 5.1065
Os Ru Se
1 1 2
direct
0.0000 0.0000 0.0000
0.5000 0.5000 0.5000
0.2508 0.2508 0.7501
0.7492 0.7492 0.2499
```

Entry from Alexandria: an optimized crystal structure of OsRuSe2 (PBE).

Properties
E_form (uncorrected) = 45 kJ/mol of atoms
relative energy among the computed polymorphs = 311.7 meV per atom
D(E_F) = 0.784 states/eV per atom

```
OsRuSe2
1.0
1.5488 0.8942 8.2340
-1.5488 0.8942 8.2340
0.0000 -1.7884 8.2340
Os Ru Se
1 1 2
direct
0.0000 0.0000 0.0000
0.5000 0.5000 0.5000
0.0951 0.0951 0.0951
0.9049 0.9049 0.9049
```

Entry from Alexandria: an optimized crystal structure of OsRuSe2 (PBE).

Properties
E_form (uncorrected) = 54 kJ/mol of atoms
relative energy among the computed polymorphs = 400.5 meV per atom
D(E_F) = 0.814 states/eV per atom

```
OsRuSe2
1.0
-1.4999 2.2402 4.7656
1.4999 -2.2402 4.7656
1.4999 2.2402 -4.7656
Os Ru Se
1 1 2
direct
0.0000 0.0000 0.0000
0.2804 0.7804 0.5000
0.5027 0.5027 0.0000
0.7835 0.2835 0.5000
```

Entry from Alexandria: an optimized crystal structure of OsRu2Se (PBE).

Properties
E_form (uncorrected) = 66 kJ/mol of atoms
D(E_F) = 1.558 states/eV per atom

```
OsRu2Se
1.0
1.3927 -2.3905 0.0000
1.3927 2.3905 0.0000
0.0000 0.0000 9.1604
Os Ru Se
1 2 1
direct
0.0000 0.0000 0.0000
0.5000 0.5000 0.2451
0.5000 0.5000 0.7549
0.0000 0.0000 0.5000
```

Entry from Alexandria: an optimized crystal structure of OsRu2Se (PBE).

Properties
E_form (uncorrected) = 40 kJ/mol of atoms
D(E_F) = 1.052 states/eV per atom

```
OsRu2Se
1.0
2.8363 0.0000 0.0000
0.0000 3.7059 0.0000
0.0000 0.0000 5.6697
Os Ru Se
1 2 1
direct
0.0000 0.0000 0.0000
0.5000 0.5000 0.2332
0.5000 0.5000 0.7668
0.0000 0.0000 0.5000
```

Entry from Alexandria: an optimized crystal structure of Os2RuSe (PBE).

Properties
E_form (uncorrected) = 49 kJ/mol of atoms
D(E_F) = 0.611 states/eV per atom

```
Os2RuSe
1.0
4.6958 -1.4297 0.0000
4.6958 1.4297 0.0000
-0.0956 0.0000 4.4982
Os Ru Se
2 1 1
direct
0.0000 0.0000 0.0000
0.7229 0.7229 0.2184
0.4470 0.4470 0.4700
0.2164 0.2164 0.6920
```

Entry from Alexandria: an optimized crystal structure of OsRu2Se (PBE).

Properties
E_form (uncorrected) = 36 kJ/mol of atoms
D(E_F) = 0.652 states/eV per atom

```
OsRu2Se
1.0
4.7663 -1.4235 0.0000
4.7663 1.4235 0.0000
-0.0784 0.0000 4.4271
Os Ru Se
1 2 1
direct
0.0000 0.0000 0.0000
0.2768 0.2768 0.7920
0.5552 0.5552 0.5294
0.7822 0.7822 0.2971
```

Entry from Alexandria: an optimized crystal structure of OsRu2Se (PBE).

Properties
E_form (uncorrected) = 41 kJ/mol of atoms
D(E_F) = 0.711 states/eV per atom

```
OsRu2Se
1.0
4.6265 -1.4357 0.0000
4.6265 1.4357 0.0000
-0.1685 0.0000 4.4914
Os Ru Se
1 2 1
direct
0.0000 0.0000 0.0000
0.2742 0.2742 0.7652
0.7258 0.7258 0.2348
0.5000 0.5000 0.5000
```

Entry from Alexandria: an optimized crystal structure of OsRu2Se (PBE).

Properties
E_form (uncorrected) = 47 kJ/mol of atoms
D(E_F) = 1.028 states/eV per atom

```
OsRu2Se
1.0
-1.4692 2.2213 4.4480
1.4692 -2.2213 4.4480
1.4692 2.2213 -4.4480
Os Ru Se
1 2 1
direct
0.0000 0.0000 0.0000
0.2731 0.7731 0.5000
0.7269 0.2269 0.5000
0.5000 0.5000 0.0000
```

Question: Which of these has the lowest E_form (uncorrected)?
Answer: number 10

Question: Which value of D(E_F) does entry 9 give?
Answer: 0.611 states/eV per atom

Question: Number 1 is which compound?
Answer: Os2RuSe